Version a
{
  "formula": "PrSm4Er6",
  "functional": "PBE",
  "state": "relaxed",
  "lattice": [[-3.3164, 3.3164, 8.4751], [3.3164, -3.3164, 8.4751], [3.3164, 3.3164, -8.4751]],
  "species": ["Pr", "Sm", "Sm", "Sm", "Sm", "Er", "Er", "Er", "Er", "Er", "Er"],
  "fractional_positions": [[0.0000, 0.0000, 0.0000], [0.0140, 0.0140, 0.3785], [0.3646, 0.9860, 0.0000], [0.6354, 0.6354, 0.6215], [0.9860, 0.3646, 0.0000], [0.0000, 0.5000, 0.5000], [0.1951, 0.5518, 0.0000], [0.4482, 0.4482, 0.6434], [0.5000, 0.0000, 0.5000], [0.5518, 0.1951, 0.0000], [0.8049, 0.8049, 0.3566]],
  "n_ef_per_ev_atom": 1.341,
  "spacegroup": "I-42m (121)"
}


Version b
{
  "formula": "PrSm4Er6",
  "functional": "PBE",
  "state": "relaxed",
  "lattice": [[10.9546, 0.0000, 0.0000], [-5.4773, 9.4870, 0.0000], [0.0000, 0.0000, 3.5266]],
  "species": ["Pr", "Sm", "Sm", "Sm", "Sm", "Er", "Er", "Er", "Er", "Er", "Er"],
  "fractional_positions": [[0.0000, 0.0000, 0.0000], [0.3333, 0.6667, 0.0000], [0.3974, 0.1987, 0.5000], [0.8013, 0.1987, 0.5000], [0.8013, 0.6026, 0.5000], [0.0081, 0.5040, 0.0000], [0.1715, 0.3430, 0.5000], [0.1715, 0.8285, 0.5000], [0.4960, 0.5040, 0.0000], [0.4960, 0.9919, 0.0000], [0.6570, 0.8285, 0.5000]],
  "n_ef_per_ev_atom": 1.474,
  "spacegroup": "P-6m2 (187)"
}


Which of them is the most stable? Correct choice: version b.


Version a
{
  "formula": "PrSm2Er4",
  "functional": "PBE",
  "state": "relaxed",
  "lattice": [[8.3745, -1.7694, 0.0000], [8.3745, 1.7694, 0.0000], [-4.3518, 0.0000, 7.6208]],
  "species": ["Pr", "Sm", "Sm", "Er", "Er", "Er", "Er"],
  "fractional_positions": [[0.0000, 0.0000, 0.0000], [0.0692, 0.0692, 0.4285], [0.9308, 0.9308, 0.5715], [0.2930, 0.2930, 0.7059], [0.3538, 0.3538, 0.1590], [0.6462, 0.6462, 0.8410], [0.7070, 0.7070, 0.2941]],
  "n_ef_per_ev_atom": 1.344,
  "spacegroup": "C2/m (12)"
}


Version b
{
  "formula": "PrSm2Er4",
  "functional": "PBE",
  "state": "relaxed",
  "lattice": [[6.0886, 0.0000, 0.0000], [0.0000, 6.5969, 0.0000], [-2.8350, 0.0000, 11.2536]],
  "species": ["Pr", "Pr", "Sm", "Sm", "Sm", "Sm", "Er", "Er", "Er", "Er", "Er", "Er", "Er", "Er"],
  "fractional_positions": [[0.0412, 0.2500, 0.3647], [0.9588, 0.7500, 0.6353], [0.1577, 0.2500, 0.9517], [0.3980, 0.7500, 0.5130], [0.6020, 0.2500, 0.4870], [0.8423, 0.7500, 0.0483], [0.1451, 0.2500, 0.6678], [0.2822, 0.7500, 0.9209], [0.3427, 0.5083, 0.2097], [0.3427, 0.9917, 0.2097], [0.6573, 0.0083, 0.7903], [0.6573, 0.4917, 0.7903], [0.7178, 0.2500, 0.0791], [0.8549, 0.7500, 0.3322]],
  "n_ef_per_ev_atom": 1.526,
  "spacegroup": "P2_1/m (11)"
}


Which of them is the most stable? Correct choice: version a.


Version a
{
  "formula": "PrSmEr3",
  "functional": "PBE",
  "state": "relaxed",
  "lattice": [[5.6716, 0.0000, 0.0000], [0.0000, 10.8260, 0.0000], [-2.8242, 0.0000, 5.7694]],
  "species": ["Pr", "Pr", "Sm", "Sm", "Er", "Er", "Er", "Er", "Er", "Er"],
  "fractional_positions": [[0.1402, 0.2500, 0.2813], [0.8598, 0.7500, 0.7187], [0.4597, 0.7500, 0.9181], [0.5403, 0.2500, 0.0819], [0.1659, 0.7500, 0.3311], [0.3481, 0.0236, 0.6971], [0.3481, 0.4764, 0.6971], [0.6520, 0.5236, 0.3029], [0.6520, 0.9764, 0.3029], [0.8341, 0.2500, 0.6689]],
  "n_ef_per_ev_atom": 1.047,
  "spacegroup": "P2_1/m (11)"
}


Version b
{
  "formula": "PrSmEr3",
  "functional": "PBE",
  "state": "relaxed",
  "lattice": [[6.3071, 0.0000, 0.0000], [0.0000, 5.6925, 0.0000], [-3.1478, 0.0000, 9.0950]],
  "species": ["Pr", "Pr", "Sm", "Sm", "Er", "Er", "Er", "Er", "Er", "Er"],
  "fractional_positions": [[0.2323, 0.2500, 0.3004], [0.7677, 0.7500, 0.6996], [0.3653, 0.7500, 0.8997], [0.6347, 0.2500, 0.1003], [0.0357, 0.2500, 0.8996], [0.1629, 0.7500, 0.5006], [0.4332, 0.2500, 0.6987], [0.5668, 0.7500, 0.3013], [0.8371, 0.2500, 0.4994], [0.9643, 0.7500, 0.1004]],
  "n_ef_per_ev_atom": 1.552,
  "spacegroup": "P2_1/m (11)"
}


Which of them is the most stable? Correct choice: version b.


Version a
{
  "formula": "Pr5Sm12Er2",
  "functional": "PBE",
  "state": "relaxed",
  "lattice": [[9.0287, -5.9127, 0.0000], [9.0287, 5.9127, 0.0000], [-1.3984, 0.0000, 6.1030]],
  "species": ["Pr", "Pr", "Pr", "Pr", "Pr", "Sm", "Sm", "Sm", "Sm", "Sm", "Sm", "Sm", "Sm", "Sm", "Sm", "Sm", "Sm", "Er", "Er"],
  "fractional_positions": [[0.0000, 0.0000, 0.0000], [0.2150, 0.2150, 0.0550], [0.3244, 0.3244, 0.6422], [0.6756, 0.6756, 0.3578], [0.7850, 0.7850, 0.9450], [0.0578, 0.5496, 0.3009], [0.1191, 0.1191, 0.4980], [0.1519, 0.6432, 0.8810], [0.3568, 0.8481, 0.1190], [0.4478, 0.4478, 0.2261], [0.4504, 0.9422, 0.6991], [0.5496, 0.0578, 0.3009], [0.5522, 0.5522, 0.7739], [0.6432, 0.1519, 0.8810], [0.8481, 0.3568, 0.1190], [0.8809, 0.8809, 0.5020], [0.9422, 0.4504, 0.6991], [0.2298, 0.7702, 0.5000], [0.7702, 0.2298, 0.5000]],
  "n_ef_per_ev_atom": 1.500,
  "spacegroup": "C2/m (12)"
}


Version b
{
  "formula": "Pr5Sm12Er2",
  "functional": "PBE",
  "state": "relaxed",
  "lattice": [[9.2243, -4.3324, 0.0000], [9.2243, 4.3324, 0.0000], [-3.4649, 0.0000, 8.2869]],
  "species": ["Pr", "Pr", "Pr", "Pr", "Pr", "Sm", "Sm", "Sm", "Sm", "Sm", "Sm", "Sm", "Sm", "Sm", "Sm", "Sm", "Sm", "Er", "Er"],
  "fractional_positions": [[0.0000, 0.0000, 0.0000], [0.2453, 0.2453, 0.7604], [0.3017, 0.3017, 0.2938], [0.6983, 0.6983, 0.7062], [0.7547, 0.7547, 0.2396], [0.0539, 0.0539, 0.6731], [0.0555, 0.6522, 0.6147], [0.1116, 0.6077, 0.0343], [0.3478, 0.9445, 0.3853], [0.3923, 0.8884, 0.9657], [0.4644, 0.4644, 0.8112], [0.5356, 0.5356, 0.1888], [0.6077, 0.1116, 0.0343], [0.6522, 0.0555, 0.6147], [0.8884, 0.3923, 0.9657], [0.9445, 0.3478, 0.3853], [0.9461, 0.9461, 0.3269], [0.3266, 0.6734, 0.5000], [0.6734, 0.3266, 0.5000]],
  "n_ef_per_ev_atom": 1.557,
  "spacegroup": "C2/m (12)"
}


Which of them is the most stable? Correct choice: version a.